4
Lattice="-2.768 1.623 -0.351 -0.230 -1.050 -3.044 -3.234 -5.082 1.998" Properties=species:S:1:pos:R:3 comment="ZrMoRu2 (PBE-GGA, optimized geometry)" delta_e_f_ev_per_atom=0.01 dft_energy_ev_per_atom=-9.469 sg="No. 99" e_above_lowest_polymorph_mev_per_atom=132 n_ef_per_ev_fu=4.64 pbc="T T T"
Mo -4.016 -3.668 -0.142
Ru -3.163 -4.970 1.954
Ru -2.335 -1.027 -1.180
Zr -1.569 -2.465 0.969